[1]
Here is a geometry-optimized Ag5As structure from Alexandria via LeMat-Bulk. Energies are from PBE.

Values from the calculation:
distance to the lowest polymorph of the same formula: 14 meV/atom
D(E_F): 2.6 states/eV per cell
volume: 109.5 Å³/cell
energy of formation from the pure elements: 0.08 eV per atom

Lattice parameters (Å, degrees): 2.9183 2.9183 12.8530 90.00 90.00 90.00
Last column: nearest neighbours and their distance in Å.
Sites, in units of the cell vectors:
Ag  0.0000  0.0000  0.0000  12 Ag 2.92-2.95
Ag  0.0000  0.0000  0.3296  8 Ag 2.92-2.96, 4 As 3.01
Ag  0.0000  0.0000  0.6704  8 Ag 2.92-2.96, 4 As 3.01
Ag  0.5000  0.5000  0.1644  12 Ag 2.92-2.96
Ag  0.5000  0.5000  0.8356  12 Ag 2.92-2.96
As  0.5000  0.5000  0.5000  4 As 2.92, 8 Ag 3.01


[2]
Here is a geometry-optimized AgAs3 structure from Alexandria via LeMat-Bulk. Energies are from PBE.

Values from the calculation:
distance to the lowest polymorph of the same formula: 217 meV/atom
D(E_F): 1.6 states/eV per cell
volume: 76.6 Å³/cell
energy of formation from the pure elements: 0.35 eV per atom

Lattice parameters (Å, degrees): 5.1671 5.1671 2.8679 90.00 90.00 90.00
Last column: nearest neighbours and their distance in Å.
Sites, in units of the cell vectors:
Ag  0.0000  0.0000  0.0000  2 Ag 2.87, 8 As 2.95
As  0.0000  0.5000  0.5000  6 As 2.87-2.95, 4 Ag 2.95
As  0.5000  0.0000  0.5000  6 As 2.87-2.95, 4 Ag 2.95
As  0.5000  0.5000  0.0000  10 As 2.87-2.95


[3]
Here is a geometry-optimized AgAs5 structure from Alexandria via LeMat-Bulk. Energies are from PBE.

Values from the calculation:
distance to the lowest polymorph of the same formula: 374 meV/atom
D(E_F): 1.0 states/eV per cell
volume: 127.6 Å³/cell
energy of formation from the pure elements: 0.49 eV per atom

Lattice parameters (Å, degrees): 5.4734 5.4734 4.9168 90.00 90.00 120.00
Last column: nearest neighbours and their distance in Å.
Sites, in units of the cell vectors:
Ag  0.0000  0.0000  0.0000  6 As 3.16
As  0.0000  0.5000  0.5000  8 As 2.74-2.92
As  0.3333  0.6667  0.0000  9 As 2.92-3.16, 3 Ag 3.16
As  0.5000  0.0000  0.5000  8 As 2.74-2.92
As  0.5000  0.5000  0.5000  8 As 2.74-2.92
As  0.6667  0.3333  0.0000  9 As 2.92-3.16, 3 Ag 3.16


[4]
Here is a geometry-optimized Ag5As structure from Alexandria via LeMat-Bulk. Energies are from PBE.

Values from the calculation:
distance to the lowest polymorph of the same formula: 15 meV/atom
D(E_F): 2.8 states/eV per cell
volume: 108.9 Å³/cell
energy of formation from the pure elements: 0.08 eV per atom

Lattice parameters (Å, degrees): 5.1592 5.1592 4.7250 90.00 90.00 120.00
Last column: nearest neighbours and their distance in Å.
Sites, in units of the cell vectors:
Ag  0.0000  0.6690  0.0000  2 As 2.92, 10 Ag 2.93-2.99
Ag  0.3310  0.3310  0.0000  2 As 2.92, 10 Ag 2.93-2.99
Ag  0.3333  0.6667  0.5000  9 Ag 2.93-2.98, 3 As 2.98
Ag  0.6667  0.3333  0.5000  9 Ag 2.93-2.98, 3 As 2.98
Ag  0.6690  0.0000  0.0000  2 As 2.92, 10 Ag 2.93-2.99
As  0.0000  0.0000  0.5000  12 Ag 2.92-2.98